1.
Pa2SiSn | PBE | optimized geometry

Cell lengths 3.4061, 3.4061, 8.0194 Å; angles 90.00, 90.00, 90.00 degrees
Sites, in units of the cell vectors:
Sn 0.5000 0.5000 0.5000
Pa 0.0000 0.0000 0.2129
Pa 0.0000 0.0000 0.7871
Si 0.5000 0.5000 0.0000

Results
Energy: -7.383 eV per atom
SG: P4/mmm, No. 123
Energy relative to the elements, uncorrected: -0.28 eV/atom
ρ: 10.87 g cm⁻³
Crystal system: tetragonal
DOS(E_F): 7.034 states/eV per cell


2.
ReSb2Cl | PBE | optimized geometry

Cell lengths 5.1567, 5.1567, 3.0875 Å; angles 90.00, 90.00, 89.98 degrees
Last column: magnetic moment on the atom in μB.
Sites, in units of the cell vectors:
Re 0.0000 0.5000 0.5000  0.81
Sb 0.5000 0.5000 0.0000  0.01
Sb 0.0000 0.0000 0.0000  0.01
Cl 0.5000 0.0000 0.5000  -0.02

Results
Energy: -4.921 eV per atom
SG: P4/mmm, No. 123
Energy relative to the elements, uncorrected: 0.71 eV/atom
ρ: 9.41 g cm⁻³
Crystal system: tetragonal
DOS(E_F): 3.490 states/eV per cell


3.
Pm4Er2Tm | PBE | optimized geometry

Cell lengths 6.8293, 8.9723, 8.9723 Å; angles 78.43, 67.63, 67.63 degrees
Sites, in units of the cell vectors:
Pm 0.1478 0.8463 0.8580
Pm 0.7698 0.7598 0.2599
Pm 0.2302 0.2402 0.7402
Pm 0.8522 0.1537 0.1420
Pm 0.8522 0.6420 0.6537
Pm 0.7895 0.2402 0.7402
Pm 0.2105 0.7598 0.2599
Pm 0.1478 0.3580 0.3463
Tm 0.5000 0.5000 0.0000
Tm 0.0000 0.5000 0.0000
Er 0.7173 0.0327 0.5327
Er 0.2827 0.9673 0.4673
Er 0.5000 0.5000 0.5000
Er 0.5000 0.0000 0.0000

Results
Energy: -4.401 eV per atom
SG: Imma, No. 74
ρ: 7.67 g cm⁻³
Crystal system: orthorhombic
DOS(E_F): 19.514 states/eV per cell


4.
KNaY2Ta | PBE | optimized geometry

Cell lengths 5.5367, 6.2225, 5.5367 Å; angles 90.00, 90.00, 90.00 degrees
Sites, in units of the cell vectors:
Ta 0.0000 0.0000 0.0000
K 0.5000 0.5000 0.5000
Y 0.0000 0.0000 0.5000
Y 0.5000 0.0000 0.0000
Na 0.0000 0.5000 0.0000

Results
Energy: -4.596 eV per atom
SG: P4/mmm, No. 123
ρ: 3.66 g cm⁻³
Crystal system: tetragonal
DOS(E_F): 6.934 states/eV per cell


5.
GaHgN2O | PBE | optimized geometry

Cell lengths 4.3624, 4.3624, 4.3867 Å; angles 90.00, 90.00, 90.00 degrees
Last column: magnetic moment on the atom in μB.
Sites, in units of the cell vectors:
Hg 0.0000 0.0000 0.0000  0.10
O 0.0000 0.0000 0.5000  0.32
Ga 0.5000 0.5000 0.5000  0.10
N 0.0000 0.5000 0.0000  1.10
N 0.5000 0.0000 0.0000  1.10

Results
Energy: -3.253 eV per atom
SG: P4/mmm, No. 123
Energy relative to the elements, uncorrected: 1.73 eV/atom
ρ: 6.25 g cm⁻³
Crystal system: tetragonal
DOS(E_F): 1.291 states/eV per cell


6.
PuNbRh | PBE | optimized geometry

Cell lengths 3.1348, 3.1348, 6.3499 Å; angles 104.29, 104.29, 90.00 degrees
Last column: magnetic moment on the atom in μB.
Sites, in units of the cell vectors:
Nb 0.6880 0.6880 0.3760  -0.34
Pu 0.9997 0.9997 0.9994  5.03
Rh 0.3123 0.3123 0.6246  -0.11

Results
Energy: -10.693 eV per atom
SG: I4mm, No. 107
ρ: 12.49 g cm⁻³
Crystal system: tetragonal
DOS(E_F): 8.852 states/eV per cell


7.
Nd2Zn5CuRh2 | PBE | optimized geometry

Cell lengths 3.6687, 9.9618, 9.9618 Å; angles 90.00, 90.00, 90.00 degrees
Sites, in units of the cell vectors:
Rh 0.0000 0.3761 0.1239
Rh 0.0000 0.6239 0.8761
Rh 0.0000 0.8761 0.3761
Rh 0.0000 0.1239 0.6239
Zn 0.5000 0.4485 0.3114
Zn 0.5000 0.5000 0.0000
Zn 0.5000 0.0000 0.5000
Zn 0.5000 0.8114 0.9485
Zn 0.5000 0.5515 0.6886
Zn 0.5000 0.1886 0.0515
Zn 0.5000 0.3114 0.5515
Zn 0.5000 0.0515 0.8114
Zn 0.5000 0.6886 0.4485
Zn 0.5000 0.9485 0.1886
Nd 0.0000 0.6812 0.1812
Nd 0.0000 0.8188 0.6812
Nd 0.0000 0.1812 0.3188
Nd 0.0000 0.3188 0.8188
Cu 0.0000 0.0000 0.0000
Cu 0.0000 0.5000 0.5000

Results
Energy: -3.799 eV per atom
SG: P4/mbm, No. 127
ρ: 8.07 g cm⁻³
Crystal system: tetragonal
DOS(E_F): 11.760 states/eV per cell


8.
CsHo2As2Se6 | PBE | optimized geometry

Cell lengths 7.7270, 8.3869, 8.7073 Å; angles 122.76, 87.23, 64.23 degrees
Sites, in units of the cell vectors:
Se 0.5917 0.2409 0.9886
Se 0.0391 0.5698 0.8776
Se 0.4083 0.7591 0.0114
Se 0.8788 0.1221 0.4147
Se 0.1212 0.8779 0.5853
Se 0.9609 0.4302 0.1224
As 0.1485 0.7966 0.8442
As 0.8515 0.2034 0.1558
Ho 0.1953 0.6503 0.1788
Ho 0.8047 0.3497 0.8212
Cs 0.5000 0.0000 0.5000

Results
Energy: -4.605 eV per atom
SG: P-1, No. 2
Energy relative to the elements, uncorrected: -0.95 eV/atom
ρ: 4.55 g cm⁻³
Crystal system: triclinic
DOS(E_F): 3.319 states/eV per cell


9.
NaCu3Bi | PBE | optimized geometry

Cell lengths 5.1107, 5.1107, 5.1107 Å; angles 90.00, 90.00, 90.00 degrees
Sites, in units of the cell vectors:
Na 0.5000 0.5000 0.5000
Cu 0.0000 0.5000 0.0000
Cu 0.0000 0.0000 0.5000
Cu 0.5000 0.0000 0.0000
Bi 0.0000 0.0000 0.0000

Results
Energy: -2.933 eV per atom
SG: Pm-3m, No. 221
ρ: 5.26 g cm⁻³
Crystal system: cubic
DOS(E_F): 2.427 states/eV per cell


10.
PrSm2Sc | PBE | optimized geometry

Cell lengths 3.5889, 13.0641, 6.2130 Å; angles 118.41, 90.00, 90.00 degrees
Sites, in units of the cell vectors:
Pr 0.7500 0.2612 0.3443
Pr 0.2500 0.7388 0.6557
Sm 0.7500 0.0007 0.7500
Sm 0.2500 0.9993 0.2500
Sm 0.2500 0.2612 0.8434
Sm 0.7500 0.7388 0.1566
Sc 0.7500 0.4993 0.2470
Sc 0.2500 0.5007 0.7530

Results
Energy: -5.076 eV per atom
SG: P2_1/m, No. 11
ρ: 6.31 g cm⁻³
Crystal system: monoclinic
DOS(E_F): 11.913 states/eV per cell


11.
NaCu2GeS4 | PBE | optimized geometry

Cell lengths 6.2589, 6.2589, 6.2589 Å; angles 123.66, 123.66, 83.77 degrees
Sites, in units of the cell vectors:
S 0.0740 0.0740 0.4333
S 0.9260 0.3593 0.0000
S 0.3593 0.9260 0.0000
S 0.6407 0.6407 0.5667
Na 0.5000 0.5000 0.0000
Cu 0.7500 0.2500 0.5000
Cu 0.2500 0.7500 0.5000
Ge 0.0000 0.0000 0.0000

Results
Energy: -4.295 eV per atom
SG: I-42m, No. 121
Energy relative to the elements, uncorrected: -0.47 eV/atom
ρ: 3.58 g cm⁻³
Crystal system: tetragonal
DOS(E_F): 7.548 states/eV per cell


12.
TiTeAuN2 | PBE | optimized geometry

Cell lengths 3.9224, 3.9224, 6.5053 Å; angles 90.00, 90.00, 90.00 degrees
Sites, in units of the cell vectors:
N 0.5000 0.0000 0.0000
N 0.0000 0.5000 0.0000
Ti 0.5000 0.5000 0.5000
Te 0.0000 0.0000 0.5000
Au 0.0000 0.0000 0.0000

Results
Energy: -4.569 eV per atom
SG: P4/mmm, No. 123
Energy relative to the elements, uncorrected: 1.62 eV/atom
ρ: 6.64 g cm⁻³
Crystal system: tetragonal
DOS(E_F): 7.152 states/eV per cell


13.
Rb2PmPaSe4 | PBE | optimized geometry

Cell lengths 4.2638, 7.4254, 8.4476 Å; angles 106.84, 90.00, 90.00 degrees
Last column: magnetic moment on the atom in μB.
Sites, in units of the cell vectors:
Pm 0.5000 0.5000 0.0000  0.14
Rb 0.0000 0.5000 0.5000  0.00
Rb 0.5000 0.0000 0.5000  0.00
Se 0.0000 0.2591 0.7984  -0.01
Se 0.5000 0.7718 0.7993  -0.02
Se 0.0000 0.7409 0.2016  -0.01
Se 0.5000 0.2282 0.2007  -0.02
Pa 0.0000 0.0000 0.0000  1.36

Results
Energy: -5.265 eV per atom
SG: P2/m, No. 10
Energy relative to the elements, uncorrected: -1.50 eV/atom
ρ: 5.60 g cm⁻³
Crystal system: monoclinic
DOS(E_F): 7.494 states/eV per cell


14.
AlGaReP2 | PBE | optimized geometry

Cell lengths 4.5233, 4.8151, 4.5233 Å; angles 90.00, 90.00, 90.00 degrees
Last column: magnetic moment on the atom in μB.
Sites, in units of the cell vectors:
Re 0.0000 0.5000 0.0000  0.90
P 0.0000 0.0000 0.5000  -0.03
P 0.5000 0.0000 0.0000  -0.03
Ga 0.0000 0.0000 0.0000  0.00
Al 0.5000 0.5000 0.5000  -0.01

Results
Energy: -4.548 eV per atom
SG: P4/mmm, No. 123
ρ: 5.81 g cm⁻³
Crystal system: tetragonal
DOS(E_F): 4.612 states/eV per cell


15.
VTeRhN2 | PBE | optimized geometry

Cell lengths 3.7595, 3.7595, 5.6798 Å; angles 90.00, 90.00, 90.00 degrees
Last column: magnetic moment on the atom in μB.
Sites, in units of the cell vectors:
Te 0.0000 0.0000 0.5000  0.01
N 0.5000 0.0000 0.0000  -0.15
N 0.0000 0.5000 0.0000  -0.15
Rh 0.5000 0.5000 0.5000  0.25
V 0.0000 0.0000 0.0000  0.12

Results
Energy: -6.685 eV per atom
SG: P4/mmm, No. 123
Energy relative to the elements, uncorrected: 0.57 eV/atom
ρ: 6.40 g cm⁻³
Crystal system: tetragonal
DOS(E_F): 3.368 states/eV per cell


16.
Nd4AgSn3 | PBE | optimized geometry

Cell lengths 4.5302, 4.4848, 11.7541 Å; angles 90.00, 90.00, 90.00 degrees
Sites, in units of the cell vectors:
Nd 0.5000 0.0000 0.6385
Nd 0.0000 0.5000 0.8660
Nd 0.0000 0.0000 0.1367
Nd 0.5000 0.5000 0.3601
Ag 0.5000 0.5000 0.0786
Sn 0.0000 0.5000 0.5909
Sn 0.5000 0.0000 0.9178
Sn 0.0000 0.0000 0.4114

Results
Energy: -4.870 eV per atom
SG: Pmm2, No. 25
ρ: 7.24 g cm⁻³
Crystal system: orthorhombic
DOS(E_F): 6.931 states/eV per cell


17.
Ta2CuReTe | PBE | optimized geometry

Cell lengths 4.9918, 4.7906, 4.9918 Å; angles 90.00, 90.00, 90.00 degrees
Sites, in units of the cell vectors:
Re 0.0000 0.5000 0.0000
Ta 0.0000 0.0000 0.5000
Ta 0.5000 0.0000 0.0000
Cu 0.5000 0.5000 0.5000
Te 0.0000 0.0000 0.0000

Results
Energy: -6.445 eV per atom
SG: P4/mmm, No. 123
Energy relative to the elements, uncorrected: 2.23 eV/atom
ρ: 10.28 g cm⁻³
Crystal system: tetragonal
DOS(E_F): 7.023 states/eV per cell